The following is a DFT calculation (PBE-GGA) of SmEuSn2 after structural relaxation.

abc: 3.5435 3.5435 9.1206
angles: 90.00 90.00 90.00
With the nearest neighbours (Å) after each atom.
Fractional coordinates of all 4 atoms:
Eu1 0.5000 0.5000 0.0000  8 Sn 3.42, 4 Eu 3.54
Sn1 0.0000 0.0000 0.7445  4 Sm 3.35, 4 Eu 3.42, 4 Sn 3.54
Sn2 0.0000 0.0000 0.2555  4 Sm 3.35, 4 Eu 3.42, 4 Sn 3.54
Sm1 0.5000 0.5000 0.5000  8 Sn 3.35, 4 Sm 3.54

Calculated values
energy of formation from the pure elements	-2.67	eV/f.u.
density of states at the Fermi level	0.57	states/eV/atom

=====

The following is a DFT calculation (PBE-GGA) of NbV2Si after structural relaxation.

abc: 3.3247 4.9962 7.5580
angles: 90.00 90.00 109.41
With the nearest neighbours (Å) after each atom.
Fractional coordinates of all 8 atoms:
Nb1 0.9600 0.9204 0.2500  3 Si 2.62-2.68, 4 V 2.84
Nb2 0.0400 0.0796 0.7500  3 Si 2.62-2.68, 4 V 2.84
V1 0.3556 0.7113 0.5504  3 Si 2.44-2.50, 2 V 2.70
V2 0.6444 0.2887 0.4496  3 Si 2.44-2.50, 2 V 2.70
V3 0.3556 0.7113 0.9496  3 Si 2.44-2.50, 2 V 2.70
V4 0.6444 0.2887 0.0504  3 Si 2.44-2.50, 2 V 2.70
Si1 0.7553 0.5105 0.7500  6 V 2.44-2.50, 3 Nb 2.62-2.68
Si2 0.2447 0.4895 0.2500  6 V 2.44-2.50, 3 Nb 2.62-2.68

Calculated values
uncorrected formation energy	-1.6	eV/f.u.
density of states at the Fermi level	0.67	states/eV/atom

=====

The following is a DFT calculation (PBE-GGA) of RbFeCu after structural relaxation.

abc: 3.5594 3.7536 12.3453
angles: 81.59 89.97 90.00
With the nearest neighbours (Å) after each atom.
Fractional coordinates of all 6 atoms:
Cu1 0.4186 0.1975 0.4104  6 Fe 2.54-2.59, 2 Cu 2.57
Cu2 0.9188 0.2703 0.2589  6 Fe 2.54-2.59, 2 Cu 2.57
Rb1 0.4261 0.5830 0.6504  2 Cu 3.48, 2 Fe 3.54-3.56, 4 Rb 3.56-3.75
Rb2 0.9298 0.8861 0.0184  2 Cu 3.48-3.49, 2 Fe 3.54-3.57, 4 Rb 3.56-3.75
Fe1 0.4202 0.7646 0.2703  2 Fe 2.37, 6 Cu 2.54-2.59
Fe2 0.9199 0.7035 0.3987  2 Fe 2.37, 6 Cu 2.54-2.59

Calculated values
energy of formation from the pure elements	1.45	eV/f.u.
distance to the lowest polymorph of the same formula	0.01	eV per formula unit
density of states at the Fermi level	0.65	states/eV/atom

=====

The following is a DFT calculation (PBE-GGA) of Sm4SnBi2 after structural relaxation.

abc: 8.5769 8.5769 8.5672
angles: 108.91 108.87 110.69
With the nearest neighbours (Å) after each atom.
Fractional coordinates of all 14 atoms:
Sm1 0.9383 0.2483 0.3093  3 Bi 3.12-3.19, 1 Sn 3.14
Sm2 0.3118 0.5017 0.1908  3 Bi 3.12-3.19, 1 Sn 3.14
Sm3 0.9390 0.6290 0.6907  3 Bi 3.12-3.19, 1 Sn 3.14
Sm4 0.7517 0.0617 0.6907  3 Bi 3.12-3.19, 1 Sn 3.14
Sm5 0.3710 0.0610 0.3092  3 Bi 3.12-3.19, 1 Sn 3.14
Sm6 0.3109 0.1210 0.8092  3 Bi 3.12-3.19, 1 Sn 3.14
Sm7 0.4983 0.6883 0.8093  3 Bi 3.12-3.19, 1 Sn 3.14
Sm8 0.8790 0.6890 0.1907  3 Bi 3.12-3.19, 1 Sn 3.14
Sn1 0.2498 0.7498 0.5000  4 Sm 3.14
Sn2 0.0001 0.0002 0.0000  4 Sm 3.14
Bi1 0.6250 0.3750 0.7500  6 Sm 3.12-3.19
Bi2 0.6250 0.8750 0.2500  6 Sm 3.12-3.19
Bi3 0.6250 0.3750 0.2500  6 Sm 3.12-3.19
Bi4 0.1250 0.3750 0.7500  6 Sm 3.12-3.19

Calculated values
energy of formation from the pure elements	-4.28	eV/f.u.
density of states at the Fermi level	0.96	states/eV/atom

=====

The following is a DFT calculation (PBE-GGA) of Na2ScAg2 after structural relaxation.

abc: 8.4969 8.4969 3.0481
angles: 90.00 90.00 90.00
With the nearest neighbours (Å) after each atom.
Fractional coordinates of all 10 atoms:
Sc1 0.0000 0.0000 0.0000  2 Sc 3.05, 4 Na 3.40
Sc2 0.5000 0.5000 0.0000  2 Sc 3.05, 4 Na 3.40
Na1 0.3825 0.8825 0.0000  6 Ag 2.82-3.04, 3 Na 2.82-3.05
Na2 0.8825 0.6175 0.0000  6 Ag 2.82-3.04, 3 Na 2.82-3.05
Na3 0.6175 0.1175 0.0000  6 Ag 2.82-3.04, 3 Na 2.82-3.05
Na4 0.1175 0.3825 0.0000  6 Ag 2.82-3.04, 3 Na 2.82-3.05
Ag1 0.1852 0.6852 0.5000  6 Na 2.82-3.04, 2 Ag 3.05
Ag2 0.6852 0.8148 0.5000  6 Na 2.82-3.04, 2 Ag 3.05
Ag3 0.8148 0.3148 0.5000  6 Na 2.82-3.04, 2 Ag 3.05
Ag4 0.3148 0.1852 0.5000  6 Na 2.82-3.04, 2 Ag 3.05

Calculated values
energy of formation from the pure elements	0.73	eV/f.u.
distance to the lowest polymorph of the same formula	0.21	eV per formula unit
density of states at the Fermi level	0.69	states/eV/atom

=====

The following is a DFT calculation (PBE-GGA) of Na4La3PuO8 after structural relaxation.

abc: 7.2833 7.0286 7.2795
angles: 121.25 120.02 90.00
With the nearest neighbours (Å) after each atom.
Fractional coordinates of all 16 atoms:
Na1 0.5000 0.0000 0.0000  6 O 2.68-2.69
Na2 0.5000 0.0000 0.5000  6 O 2.61-2.64
Na3 0.0000 0.0000 0.0000  6 O 2.62-2.63
Na4 0.0000 0.0000 0.5000  6 O 2.61-2.64
La1 0.5000 0.5000 0.0000  6 O 2.43-2.45
La2 0.5000 0.5000 0.5000  6 O 2.43-2.45
La3 0.0000 0.5000 0.5000  6 O 2.43-2.45
Pu1 0.0000 0.5000 0.0000  6 O 2.38
O1 0.2343 0.7161 0.9824  1 Pu 2.38, 2 La 2.45, 2 Na 2.61-2.62
O2 0.2344 0.7161 0.4687  1 Pu 2.38, 2 La 2.45, 2 Na 2.62
O3 0.2610 0.2837 0.5220  3 La 2.43, 3 Na 2.63-2.64
O4 0.7481 0.7161 0.9824  1 Pu 2.38, 2 La 2.45, 2 Na 2.61-2.62
O5 0.2519 0.2839 0.0176  1 Pu 2.38, 2 La 2.45, 2 Na 2.61-2.62
O6 0.7390 0.7163 0.4780  3 La 2.43, 3 Na 2.63-2.64
O7 0.7656 0.2839 0.5313  1 Pu 2.38, 2 La 2.45, 2 Na 2.62
O8 0.7657 0.2839 0.0176  1 Pu 2.38, 2 La 2.45, 2 Na 2.61-2.62

Calculated values
uncorrected formation energy	-41.1	eV/f.u.
density of states at the Fermi level	0.40	states/eV/atom